{
  "formula": "ZrCo2P",
  "functional": "PBE",
  "state": "relaxed",
  "sg": "F-43m, No. 216",
  "e_tot_ev_per_atom": -7.2061,
  "ef_ev_per_atom": -0.16,
  "volume_a3_per_atom": 13.808,
  "lattice": [[4.275, 0.000, 0.000], [2.137, 3.702, 0.000], [2.137, 1.234, 3.490]],
  "species": ["Co", "Co", "Zr", "P"],
  "fractional_positions": [[0.000, 0.000, 0.000], [0.250, 0.250, 0.250], [0.750, 0.750, 0.750], [0.500, 0.500, 0.500]]
}